## MgIrRh2 (PBE)

Data for a relaxed MgIrRh2 crystal.

Summary:
Raw total energy = -6.48 eV/atom
Density = 11.90 g cm⁻³
Energy relative to the elements = -0.1952 eV per atom

```
4
Lattice="4.751 0.000 0.003 3.937 2.660 0.003 0.762 0.233 4.665" Properties=species:S:1:pos:R:3 pbc="T T T"
Rh 0.811 0.248 4.624
Rh 4.676 1.432 2.377
Mg 2.363 0.723 1.168
Ir 7.088 2.170 3.504
```